Here is a geometry-optimized ReTe4W structure from the Alexandria database. Energies are from PBE-GGA.

a b c (Å): 8.634 8.634 8.634
angles (deg): 90.00 90.00 90.00
Space group F-43m (No. 216)
Inequivalent atoms, fractional coordinates:
1 Re 0.000 0.000 0.000 (multiplicity 4)
2 Te 0.125 0.125 0.625 (multiplicity 16)
3 W 0.250 0.250 0.250 (multiplicity 4)

Formation energy from raw total energies = 2.0244 eV per atom
Distance to the lowest polymorph of the same formula = 2078.7 meV/atom
Final energy = -4.30 eV/atom